This record from Alexandria via LeMat-Bulk describes a relaxed structure of RbY2Se2. The functional is PBE-GGA.

```
RbY2Se2
1.0
4.934 0.000 0.000
0.000 4.934 0.000
2.467 2.467 7.464
Se Y Rb
2 2 1
direct
0.654 0.654 0.691
0.346 0.346 0.309
0.250 0.750 0.500
0.750 0.250 0.500
0.000 0.000 0.000
```

- ΔE_f (raw): -1133 meV/atom
- Size of the total moment: 0.00 μB per formula unit
- Calculated volume: 36.35 Å³/atom
- E_tot: -5.306 eV per atom
- Symmetry: No. 139